HoTm5Pu: relaxed, GGA-PBE.

The space group is P2_1/m (No. 11) and the conventional cell measures 8.556, 3.541 and 13.928 Å, with angles of 90.00, 104.06 and 90.00 degrees. Symmetry generates all atoms from Ho at (0.089, 0.250, 0.101), Tm at (0.154, 0.250, 0.775), Tm at (0.167, 0.750, 0.565), Tm at (0.192, 0.250, 0.355), Tm at (0.330, 0.750, 0.985), Tm at (0.496, 0.250, 0.219) and Pu at (0.485, 0.250, 0.550).

The value obtained for the energy of formation is 0.86 eV/f.u. The density comes out at 10.171 g/cm3. As for the size of the total moment: 0.00 μB per cell.